Na2VPdO4 after structural relaxation. Source: Alexandria, functional PBE+U.

Geometry as POSCAR:
```
Na2VPdO4
1.0
5.212 0.208 0.319
-2.032 4.804 -0.319
-2.032 -2.225 4.270
Na V Pd O
2 1 1 4
Cartesian
0.574 3.151 0.988
0.000 0.000 0.000
-2.032 1.289 1.975
0.574 -0.364 3.282
1.414 1.377 2.261
-1.264 -0.300 2.100
3.822 2.192 0.799
-1.678 2.306 3.380
```

## Properties
The total energy is -5.855 eV per atom. The symmetry is No. 82.